## Zn2SnO4 (PBEsol)

Data for an optimized crystal structure of Zn2SnO4.

Cell: 6.0021 6.1340 6.1340 Å, 61.30 60.71 60.71°
Element x y z (fractional)
Zn  0.8583  0.8917  0.3917
Zn  0.1417  0.1083  0.6083
Zn  0.0000  0.5000  0.0000
Zn  0.5000  0.5000  0.0000
Sn  0.5000  0.0000  0.0000
Sn  0.5000  0.5000  0.5000
O  0.2643  0.2530  0.2184
O  0.2643  0.7184  0.7530
O  0.2644  0.2509  0.7509
O  0.7337  0.2509  0.7509
O  0.2663  0.7491  0.2491
O  0.7356  0.7491  0.2491
O  0.7357  0.2816  0.2470
O  0.7357  0.7470  0.7816

Output
**Energy relative to the elements, uncorrected**: -1534 meV/atom